MgZrCo: single point on PBEsol structure, meta-GGA SCAN.

It has space group P3m1 (No. 156), with a = 3.2046 Å, b = 3.2046 Å, c = 6.2423 Å, α = 90.00°, β = 90.00° and γ = 120.00°. Symmetry generates all atoms from Mg at (0.0000, 0.0000, 0.0000), Zr at (0.3333, 0.6667, 0.5644) and Co at (0.6667, 0.3333, 0.3104).

As for the total magnetic moment: 0.000 μB per atom. As for the total energy: -17.4297 eV/atom.